! FeHg2Au (PBE-GGA, optimized geometry); values from VASP
&SYSTEM
  ibrav = 0, nat = 4, ntyp = 3
/
ATOMIC_SPECIES
Fe 55.84 Fe.upf
Hg 200.59 Hg.upf
Au 196.97 Au.upf
CELL_PARAMETERS angstrom
4.177 0.000 0.000
0.000 4.212 0.000
0.000 0.000 4.245
ATOMIC_POSITIONS crystal
Fe 0.000 0.000 0.000
Hg 0.500 0.000 0.500
Hg 0.500 0.500 0.000
Au 0.000 0.500 0.500
! Spin magnetization, μB/atom: 0.681
! Distance to the lowest polymorph of the same formula, meV/atom: 121.1
! DFT formation energy, meV per atom: 356.8
! Symmetry: Pmmm, No. 47
! E_tot, eV per cell: -10.92